Here is crystalline NiOF3 at its relaxed geometry from the Alexandria database. Energies are from GGA+U.

Lattice parameters (Å, degrees): 3.811 3.811 3.811 90.00 90.00 90.00
Sites, in units of the cell vectors:
1 Ni 0.000 0.000 0.000
2 O 0.500 0.500 0.500
3 F 0.000 0.500 0.500
4 F 0.500 0.000 0.500
5 F 0.500 0.500 0.000

Computed properties:
space-group type: Pm-3m (221)
final energy: -2.313 eV/atom
relative energy among the computed polymorphs: 7.905 eV per formula unit
crystal system: cubic